(1)
## RbTa2Be (PBE)

Data for a relaxed RbTa2Be crystal.

formation enthalpy at 0 K: 1787 meV per atom
density: 7.6 g/cm³
V: 24.99 A^3/atom
space-group type: I-42d, No. 122
DFT total energy: -0.19524 hartree per atom

```
RbTa2Be
1.0
-1.399 -3.943 1.752
2.939 -2.219 -2.648
7.538 -2.398 6.492
Be Ta Rb
2 4 2
Direct
0.250 0.750 0.500
0.500 0.500 0.000
0.256 0.125 0.250
0.875 0.506 0.750
0.494 0.625 0.250
0.375 0.744 0.750
0.750 0.250 0.500
0.000 0.000 0.000
```



(2)
## Ba2CuSi3Pt12 (PBE)

Data for a relaxed Ba2CuSi3Pt12 crystal.

density: 12.2 g/cm³
V: 20.83 A^3/atom
energy relative to the elements, uncorrected: -337 meV per atom
space-group type: R-3m, No. 166
DFT total energy: -0.20979 hartree per atom

```
Ba2CuSi3Pt12
1.0
7.912 -0.187 -0.133
3.745 6.973 -0.133
3.745 2.180 6.625
Ba Pt Cu Si
2 12 1 3
Direct
0.618 0.618 0.618
0.382 0.382 0.382
0.651 0.096 0.651
0.349 0.349 0.904
0.636 0.115 0.115
0.349 0.904 0.349
0.096 0.651 0.651
0.904 0.349 0.349
0.651 0.651 0.096
0.885 0.364 0.885
0.364 0.885 0.885
0.885 0.885 0.364
0.115 0.636 0.115
0.115 0.115 0.636
0.000 0.000 0.000
0.000 0.000 0.500
0.000 0.500 0.000
0.500 0.000 0.000
```



(3)
## MnRh4Au (PBE)

Data for a relaxed MnRh4Au crystal.

formation enthalpy at 0 K: 266 meV per atom
density: 11.5 g/cm³
V: 15.94 A^3/atom
space-group type: F-43m, No. 216
DFT total energy: -0.24656 hartree per atom

```
MnRh4Au
1.0
3.924 2.410 2.267
-0.491 4.898 1.455
-0.251 1.183 4.988
Mn Au Rh
1 1 4
Direct
0.000 0.000 0.000
0.250 0.250 0.250
0.625 0.625 0.125
0.625 0.625 0.625
0.125 0.625 0.625
0.625 0.125 0.625
```



(4)
## TlBiAs2 (PBE)

Data for a relaxed TlBiAs2 crystal.

formation enthalpy at 0 K: 276 meV per atom
energy above the lowest structure with this stoichiometry: 0.1580 eV per atom
density: 9.4 g/cm³
V: 24.96 A^3/atom
space-group type: Fm-3m, No. 225
DFT total energy: -0.13267 hartree per atom

```
TlBiAs2
1.0
0.000 3.682 3.682
3.682 0.000 3.682
3.682 3.682 0.000
Bi As Tl
1 2 1
Direct
0.500 0.500 0.500
0.250 0.250 0.250
0.750 0.750 0.750
0.000 0.000 0.000
```



(5)
## ZnMoSe2 (PBE)

Data for a relaxed ZnMoSe2 crystal.

density: 7.1 g/cm³
V: 18.76 A^3/atom
energy relative to the elements, uncorrected: -46 meV per atom
space-group type: Imm2, No. 44
DFT total energy: -0.17692 hartree per atom

```
ZnMoSe2
1.0
-3.106 -1.881 -6.222
-0.766 -5.572 -4.502
-0.028 3.116 6.495
Zn Mo Se
1 1 2
Direct
0.543 0.543 0.000
0.802 0.302 0.500
0.945 0.945 0.000
0.210 0.710 0.500
```



(6)
## Tl4In3Ga (PBE)

Data for a relaxed Tl4In3Ga crystal.

formation enthalpy at 0 K: 54 meV per atom
density: 8.9 g/cm³
V: 28.87 A^3/atom
space-group type: I4/mcm, No. 140
DFT total energy: -0.09314 hartree per atom

```
Tl4In3Ga
1.0
-4.292 3.946 1.015
-6.315 -3.883 5.644
2.283 4.984 7.534
Ga Tl In
2 8 6
Direct
0.250 0.500 0.500
0.750 0.500 0.500
0.778 0.311 0.133
0.089 0.133 0.689
0.278 0.133 0.311
0.589 0.689 0.133
0.222 0.689 0.867
0.722 0.867 0.689
0.411 0.311 0.867
0.911 0.867 0.311
0.146 0.500 0.207
0.250 0.000 0.000
0.354 0.793 0.500
0.646 0.207 0.500
0.854 0.500 0.793
0.750 0.000 0.000
```



- Among the records above, which one has the lowest DFT total energy?
  MnRh4Au